# TlInTe2

Crystalline TlInTe2 at its relaxed geometry (PBE, Alexandria via LeMat-Bulk).

Summary:
The space group is F-43m (216). The electronic total energy is -11.21 eV/cell. Its spin magnetization is 0.000 μB per atom. The formation energy without anion corrections is 0.2 eV/f.u. The value obtained for the theoretical density is 7.681 g cm⁻³.

a b c (Å): 5.600 5.600 5.600
angles (deg): 60.00 60.00 60.00
Sites, in units of the cell vectors:
Te1 0.250 0.250 0.250
Tl1 0.750 0.750 0.750
In1 0.500 0.500 0.500
Te2 0.000 0.000 0.000